An optimized crystal structure of ZrCrSe3, computed with PBE.

Values from the calculation:
- Fermi-level density of states (states/eV/cell) = 3.0
- distance to the lowest polymorph of the same formula (meV/atom) = 801
- E (eV per atom) = -5.821
- spin magnetization (μB/f.u.) = 3.94
- formation energy from raw total energies (eV/atom) = -0.10

a = 4.796 Å, b = 4.796 Å, c = 4.796 Å
α = 90.00°, β = 90.00°, γ = 90.00°
Space group Pm-3m (No. 221)
Inequivalent atoms, fractional coordinates:
Zr (0.000, 0.000, 0.000) (multiplicity 1)
Cr (0.500, 0.500, 0.500) (multiplicity 1)
Se (0.000, 0.500, 0.500) (multiplicity 3)


An optimized crystal structure of ZrCrSe, computed with PBE.

Values from the calculation:
- Fermi-level density of states (states/eV/cell) = 3.8
- distance to the lowest polymorph of the same formula (meV/atom) = 102
- E (eV per atom) = -7.354
- spin magnetization (μB/f.u.) = 2.41
- formation energy from raw total energies (eV/atom) = -0.14

a = 3.4697 Å, b = 3.4697 Å, c = 5.6722 Å
α = 90.00°, β = 90.00°, γ = 120.00°
Space group P3m1 (No. 156)
Inequivalent atoms, fractional coordinates:
Zr (0.0000, 0.0000, 0.0000) (multiplicity 1)
Cr (0.6667, 0.3333, 0.3717) (multiplicity 1)
Se (0.3333, 0.6667, 0.6718) (multiplicity 1)


An optimized crystal structure of ZrCrSe3, computed with PBE.

Values from the calculation:
- Fermi-level density of states (states/eV/cell) = 11.1
- distance to the lowest polymorph of the same formula (meV/atom) = 45
- E (eV per atom) = -6.578
- spin magnetization (μB/f.u.) = 3.37
- formation energy from raw total energies (eV/atom) = -0.85

a = 6.574 Å, b = 11.560 Å, c = 6.528 Å
α = 90.00°, β = 112.00°, γ = 90.00°
Space group C2/m (No. 12)
Inequivalent atoms, fractional coordinates:
Zr (0.000, 0.160, 0.000) (multiplicity 4)
Cr (0.000, 0.336, 0.500) (multiplicity 4)
Se (0.223, 0.500, 0.746) (multiplicity 4)
Se (0.240, 0.174, 0.737) (multiplicity 8)